<one>
# ZrPS2N

An optimized crystal structure of ZrPS2N (PBE, Alexandria).

Cell lengths 5.088, 5.088, 3.992 Å; angles 90.00, 90.00, 90.00 degrees
Element x y z (fractional)
P 0.500 0.500 0.500
S 0.000 0.500 0.000
S 0.500 0.000 0.000
Zr 0.000 0.000 0.000
N 0.000 0.000 0.500

=====

<two>
# ZrPS2N

An optimized crystal structure of ZrPS2N (PBE, Alexandria).

Cell lengths 4.694, 4.694, 3.346 Å; angles 90.00, 90.00, 90.00 degrees
Element x y z (fractional)
P 0.000 0.000 0.000
S 0.000 0.500 0.000
S 0.500 0.000 0.000
Zr 0.500 0.500 0.500
N 0.000 0.000 0.500

=====

Which structure is most stable, and how do the rest compare? From most to least stable: <two>, <one>.

=====

<one>
# SbP2N

An optimized crystal structure of SbP2N (PBE, Alexandria).

Cell lengths 4.966, 4.966, 6.799 Å; angles 68.58, 68.58, 90.00 degrees
Element x y z (fractional)
Sb 0.000 0.000 0.000
Sb 0.750 0.250 0.500
N 0.500 0.500 0.000
N 0.250 0.750 0.500
P 0.480 0.125 0.250
P 0.270 0.625 0.250
P 0.375 0.520 0.750
P 0.875 0.730 0.750

=====

<two>
# SbP2N

An optimized crystal structure of SbP2N (PBE, Alexandria).

Cell lengths 4.447, 4.447, 4.447 Å; angles 60.00, 60.00, 60.00 degrees
Element x y z (fractional)
Sb 0.500 0.500 0.500
N 0.000 0.000 0.000
P 0.250 0.250 0.250
P 0.750 0.750 0.750

=====

Which structure is most stable, and how do the rest compare? From most to least stable: <one>, <two>.

=====

<one>
# SbTe2PN

An optimized crystal structure of SbTe2PN (PBE, Alexandria).

Cell lengths 4.669, 4.669, 4.900 Å; angles 90.00, 90.00, 90.00 degrees
Element x y z (fractional)
Sb 0.000 0.000 0.500
N 0.000 0.000 0.000
Te 0.000 0.500 0.000
Te 0.500 0.000 0.000
P 0.500 0.500 0.500

=====

<two>
# SbTe2PN

An optimized crystal structure of SbTe2PN (PBE, Alexandria).

Cell lengths 5.762, 5.762, 3.912 Å; angles 90.00, 90.00, 90.00 degrees
Element x y z (fractional)
Sb 0.000 0.000 0.000
N 0.000 0.000 0.500
Te 0.000 0.500 0.000
Te 0.500 0.000 0.000
P 0.500 0.500 0.500

=====

Which structure is most stable, and how do the rest compare? From most to least stable: <one>, <two>.

=====

<one>
# SbTePN2

An optimized crystal structure of SbTePN2 (PBE, Alexandria).

Cell lengths 3.988, 3.988, 6.804 Å; angles 90.00, 90.00, 90.00 degrees
Element x y z (fractional)
Sb 0.000 0.000 0.000
N 0.000 0.500 0.000
N 0.500 0.000 0.000
Te 0.000 0.000 0.500
P 0.500 0.500 0.500

=====

<two>
# SbTePN2

An optimized crystal structure of SbTePN2 (PBE, Alexandria).

Cell lengths 3.978, 3.978, 5.158 Å; angles 90.00, 90.00, 90.00 degrees
Element x y z (fractional)
Sb 0.500 0.500 0.500
N 0.000 0.500 0.000
N 0.500 0.000 0.000
Te 0.000 0.000 0.500
P 0.000 0.000 0.000

=====

Which structure is most stable, and how do the rest compare? From most to least stable: <two>, <one>.

=====

<one>
# Sc2PN

An optimized crystal structure of Sc2PN (PBE, Alexandria).

Cell lengths 6.871, 6.871, 6.871 Å; angles 34.61, 34.61, 34.61 degrees
Element x y z (fractional)
Sc 0.904 0.904 0.904
Sc 0.096 0.096 0.096
P 0.500 0.500 0.500
N 0.000 0.000 0.000

=====

<two>
# Sc2PN

An optimized crystal structure of Sc2PN (PBE, Alexandria).

Cell lengths 7.693, 7.693, 7.693 Å; angles 24.43, 24.43, 24.43 degrees
Element x y z (fractional)
Sc 0.886 0.886 0.886
Sc 0.114 0.114 0.114
P 0.000 0.000 0.000
N 0.500 0.500 0.500

=====

Which structure is most stable, and how do the rest compare? From most to least stable: <two>, <one>.

=====

<one>
# Sc2PN

An optimized crystal structure of Sc2PN (PBE, Alexandria).

Cell lengths 4.364, 4.364, 4.364 Å; angles 60.00, 60.00, 60.00 degrees
Element x y z (fractional)
Sc 0.250 0.250 0.250
Sc 0.750 0.750 0.750
P 0.500 0.500 0.500
N 0.000 0.000 0.000

=====

<two>
# Sc2PN

An optimized crystal structure of Sc2PN (PBE, Alexandria).

Cell lengths 6.113, 6.113, 5.640 Å; angles 57.18, 57.18, 90.00 degrees
Element x y z (fractional)
Sc 0.558 0.125 0.250
Sc 0.192 0.625 0.250
Sc 0.375 0.442 0.750
Sc 0.875 0.808 0.750
P 0.000 0.000 0.000
P 0.750 0.250 0.500
N 0.500 0.500 0.000
N 0.250 0.750 0.500

=====

Which structure is most stable, and how do the rest compare? From most to least stable: <two>, <one>.

=====

<one>
# ScPSe2N

An optimized crystal structure of ScPSe2N (PBE, Alexandria).

Cell lengths 5.004, 5.004, 3.393 Å; angles 90.00, 90.00, 90.00 degrees
Element x y z (fractional)
Sc 0.500 0.500 0.500
P 0.000 0.000 0.000
Se 0.000 0.500 0.000
Se 0.500 0.000 0.000
N 0.000 0.000 0.500

=====

<two>
# ScPSe2N

An optimized crystal structure of ScPSe2N (PBE, Alexandria).

Cell lengths 5.208, 5.208, 4.034 Å; angles 90.00, 90.00, 90.00 degrees
Element x y z (fractional)
Sc 0.000 0.000 0.000
P 0.500 0.500 0.500
Se 0.000 0.500 0.000
Se 0.500 0.000 0.000
N 0.000 0.000 0.500

=====

Which structure is most stable, and how do the rest compare? From most to least stable: <one>, <two>.

=====

<one>
# ScTePN2

An optimized crystal structure of ScTePN2 (PBE, Alexandria).

Cell lengths 3.816, 3.816, 5.305 Å; angles 90.00, 90.00, 90.00 degrees
Element x y z (fractional)
Sc 0.500 0.500 0.500
P 0.000 0.000 0.000
Te 0.000 0.000 0.500
N 0.000 0.500 0.000
N 0.500 0.000 0.000

=====

<two>
# ScTePN2

An optimized crystal structure of ScTePN2 (PBE, Alexandria).

Cell lengths 4.047, 4.047, 6.318 Å; angles 90.00, 90.00, 90.00 degrees
Element x y z (fractional)
Sc 0.000 0.000 0.000
P 0.500 0.500 0.500
Te 0.000 0.000 0.500
N 0.000 0.500 0.000
N 0.500 0.000 0.000

=====

Which structure is most stable, and how do the rest compare? From most to least stable: <one>, <two>.

=====

<one>
# PSe2N

An optimized crystal structure of PSe2N (PBE, Alexandria).

Cell lengths 8.156, 8.156, 8.156 Å; angles 22.08, 22.08, 22.08 degrees
Element x y z (fractional)
P 0.000 0.000 0.000
Se 0.896 0.896 0.896
Se 0.104 0.104 0.104
N 0.500 0.500 0.500

=====

<two>
# PSe2N

An optimized crystal structure of PSe2N (PBE, Alexandria).

Cell lengths 6.135, 6.135, 5.787 Å; angles 57.99, 57.99, 90.00 degrees
Element x y z (fractional)
P 0.000 0.000 0.000
P 0.750 0.250 0.500
Se 0.584 0.125 0.250
Se 0.166 0.625 0.250
Se 0.375 0.416 0.750
Se 0.875 0.834 0.750
N 0.500 0.500 0.000
N 0.250 0.750 0.500

=====

<three>
# PSe2N

An optimized crystal structure of PSe2N (PBE, Alexandria).

Cell lengths 4.381, 4.381, 4.381 Å; angles 60.00, 60.00, 60.00 degrees
Element x y z (fractional)
P 0.500 0.500 0.500
Se 0.250 0.250 0.250
Se 0.750 0.750 0.750
N 0.000 0.000 0.000

=====

Which structure is most stable, and how do the rest compare? From most to least stable: <two>, <one>, <three>.

=====

<one>
# P3SeN

An optimized crystal structure of P3SeN (PBE, Alexandria).

Cell lengths 4.251, 4.298, 5.008 Å; angles 82.34, 74.12, 76.52 degrees
Element x y z (fractional)
P 0.086 0.066 0.911
P 0.750 0.284 0.557
P 0.070 0.700 0.627
Se 0.461 0.759 0.204
N 0.341 0.326 0.721

=====

<two>
# P3SeN

An optimized crystal structure of P3SeN (PBE, Alexandria).

Cell lengths 3.587, 5.095, 5.826 Å; angles 71.22, 72.87, 87.26 degrees
Element x y z (fractional)
P 0.079 0.244 0.222
P 0.250 0.831 0.175
P 0.452 0.317 0.475
Se 0.741 0.237 0.874
N 0.463 0.659 0.388

=====

<three>
# P3SeN

An optimized crystal structure of P3SeN (PBE, Alexandria).

Cell lengths 4.713, 6.031, 11.157 Å; angles 90.00, 115.18, 90.00 degrees
Element x y z (fractional)
P 0.702 0.723 0.420
P 0.702 0.277 0.420
P 0.702 0.223 0.920
P 0.702 0.777 0.920
P 0.757 0.000 0.776
P 0.757 0.500 0.276
Se 0.419 0.000 0.277
Se 0.419 0.500 0.777
N 0.439 0.000 0.836
N 0.439 0.500 0.336

=====

<four>
# P3SeN

An optimized crystal structure of P3SeN (PBE, Alexandria).

Cell lengths 4.175, 4.175, 4.175 Å; angles 90.00, 90.00, 90.00 degrees
Element x y z (fractional)
P 0.000 0.500 0.000
P 0.000 0.000 0.500
P 0.500 0.000 0.000
Se 0.500 0.500 0.500
N 0.000 0.000 0.000

=====

Which structure is most stable, and how do the rest compare? From most to least stable: <two>, <one>, <three>, <four>.

=====

<one>
# P3SeN

An optimized crystal structure of P3SeN (PBE, Alexandria).

Cell lengths 4.328, 5.021, 5.523 Å; angles 88.04, 70.49, 76.01 degrees
Element x y z (fractional)
P 0.876 0.205 0.192
P 0.406 0.557 0.227
P 0.881 0.236 0.593
Se 0.448 0.625 0.805
N 0.116 0.357 0.316

=====

<two>
# P3SeN

An optimized crystal structure of P3SeN (PBE, Alexandria).

Cell lengths 5.554, 3.416, 6.837 Å; angles 90.00, 113.73, 90.00 degrees
Element x y z (fractional)
P 0.391 0.500 0.278
P 0.177 0.000 0.679
P 0.653 0.000 0.255
Se 0.495 0.500 0.640
N 0.907 0.000 0.487

=====

<three>
# P3SeN

An optimized crystal structure of P3SeN (PBE, Alexandria).

Cell lengths 4.832, 4.832, 4.832 Å; angles 90.00, 90.00, 90.00 degrees
Element x y z (fractional)
P 0.000 0.500 0.000
P 0.000 0.000 0.500
P 0.500 0.000 0.000
Se 0.000 0.000 0.000
N 0.500 0.500 0.500

=====

Which structure is most stable, and how do the rest compare? From most to least stable: <two>, <one>, <three>.

=====

<one>
# P3SeN

An optimized crystal structure of P3SeN (PBE, Alexandria).

Cell lengths 7.550, 3.459, 7.713 Å; angles 90.00, 97.46, 90.00 degrees
Element x y z (fractional)
P 0.331 0.000 0.118
P 0.331 0.500 0.618
P 0.173 0.000 0.719
P 0.173 0.500 0.219
P 0.552 0.000 0.806
P 0.552 0.500 0.306
Se 0.731 0.000 0.447
Se 0.731 0.500 0.947
N 0.347 0.000 0.901
N 0.347 0.500 0.401

=====

<two>
# P3SeN

An optimized crystal structure of P3SeN (PBE, Alexandria).

Cell lengths 5.715, 3.430, 7.000 Å; angles 90.00, 111.10, 90.00 degrees
Element x y z (fractional)
P 0.660 0.500 0.465
P 0.417 0.500 0.984
P 0.455 0.000 0.562
Se 0.706 0.000 0.904
N 0.474 0.500 0.218

=====

Which structure is most stable, and how do the rest compare? From most to least stable: <two>, <one>.